Ag3GeCl | Alexandria via LeMat-Bulk | GGA-PBE | relaxed; total moment = 0.0 μB/f.u.; uncorrected energy = -12.9 eV/cell; space group = Pm-3m (221); energy relative to the elements, uncorrected = 421 meV/atom; energy above the lowest structure with this stoichiometry = 0 meV/atom
1.0
4.993 0.000 0.000
0.000 4.993 0.000
0.000 0.000 4.993
Ag Ge Cl
3 1 1
Direct
0.000 0.000 0.500
0.000 0.500 0.000
0.500 0.000 0.000
0.000 0.000 0.000
0.500 0.500 0.500